The following is a GGA-PBE calculation of a relaxed BaCdClF3 crystal, from the Alexandria database.

Output
calculated volume	146.0	Å³/f.u.
formation energy from raw total energies	-2677	meV/atom
total magnetic moment	0.000	μB/f.u.
symmetry	No. 15
VASP energy	-4.393	eV/atom
crystal system	monoclinic
D(E_F)	0.00	states/eV per atom

abc: 7.4990 7.4990 8.0951
angles: 91.55 91.55 139.94
Positions (direct):
Ba  0.0600  0.9400  0.7500
Ba  0.9400  0.0600  0.2500
Cd  0.2141  0.7859  0.2500
Cd  0.7859  0.2141  0.7500
Cl  0.2869  0.7131  0.7500
Cl  0.7131  0.2869  0.2500
F  0.0812  0.8869  0.0667
F  0.1131  0.9188  0.4333
F  0.3710  0.6290  0.2500
F  0.6290  0.3710  0.7500
F  0.8869  0.0812  0.5667
F  0.9188  0.1131  0.9333

***

The following is a GGA-PBE calculation of a relaxed BaTmMnS4 crystal, from the Alexandria database.

Output
calculated volume	167.9	Å³/f.u.
formation energy from raw total energies	-1489	meV/atom
total magnetic moment	4.000	μB/f.u.
symmetry	No. 11
VASP energy	-6.071	eV/atom
crystal system	monoclinic
D(E_F)	0.33	states/eV per atom

abc: 6.5333 6.2998 8.5746
angles: 90.00 107.95 90.00
Positions (direct):
Ba  0.2436  0.2500  0.4397
Ba  0.7564  0.7500  0.5603
Tm  0.2633  0.2500  0.9442
Tm  0.7367  0.7500  0.0558
Mn  0.2666  0.7500  0.1717
Mn  0.7334  0.2500  0.8283
S  0.0550  0.7500  0.9126
S  0.0709  0.7500  0.3509
S  0.4866  0.5080  0.7877
S  0.4866  0.9920  0.7877
S  0.5134  0.0080  0.2123
S  0.5134  0.4920  0.2123
S  0.9291  0.2500  0.6491
S  0.9450  0.2500  0.0874

***

The following is a GGA-PBE calculation of a relaxed HfMnHg2 crystal, from the Alexandria database.

Output
calculated volume	86.6	Å³/f.u.
formation enthalpy at 0 K	0.479	eV per atom
total magnetic moment	2.998	μB/f.u.
symmetry	No. 122
VASP energy	-4.452	eV/atom
crystal system	tetragonal
D(E_F)	1.14	states/eV per atom

abc: 4.1241 4.1241 20.3709
angles: 90.00 90.00 90.00
Positions (direct):
Hf  0.0000  0.0000  0.0000
Hf  0.0000  0.5000  0.2500
Hf  0.5000  0.0000  0.7500
Hf  0.5000  0.5000  0.5000
Mn  0.0000  0.0000  0.5000
Mn  0.0000  0.5000  0.7500
Mn  0.5000  0.0000  0.2500
Mn  0.5000  0.5000  0.0000
Hg  0.2406  0.2500  0.6250
Hg  0.2500  0.7406  0.8750
Hg  0.2500  0.7594  0.3750
Hg  0.2594  0.2500  0.1250
Hg  0.7406  0.7500  0.1250
Hg  0.7500  0.2406  0.3750
Hg  0.7500  0.2594  0.8750
Hg  0.7594  0.7500  0.6250

***

The following is a GGA-PBE calculation of a relaxed Zr2VZn crystal, from the Alexandria database.

Output
calculated volume	78.8	Å³/f.u.
formation enthalpy at 0 K	0.448	eV per atom
total magnetic moment	0.004	μB/f.u.
symmetry	No. 166
VASP energy	-6.424	eV/atom
crystal system	trigonal
D(E_F)	1.40	states/eV per atom

abc: 2.8916 2.8916 32.6595
angles: 90.00 90.00 120.00
Positions (direct):
Zr  0.0000  0.0000  0.0886
Zr  0.0000  0.0000  0.9114
Zr  0.3333  0.6667  0.5781
Zr  0.3333  0.6667  0.7552
Zr  0.6667  0.3333  0.2448
Zr  0.6667  0.3333  0.4219
V  0.0000  0.0000  0.5000
V  0.3333  0.6667  0.1667
V  0.6667  0.3333  0.8333
Zn  0.0000  0.0000  0.0000
Zn  0.3333  0.6667  0.6667
Zn  0.6667  0.3333  0.3333

***

The following is a GGA-PBE calculation of a relaxed PmInBi crystal, from the Alexandria database.

Output
calculated volume	88.4	Å³/f.u.
formation enthalpy at 0 K	-0.364	eV per atom
total magnetic moment	0.025	μB/f.u.
symmetry	No. 107
VASP energy	-4.154	eV/atom
crystal system	tetragonal
D(E_F)	1.28	states/eV per atom

abc: 4.0309 4.0309 10.8819
angles: 90.00 90.00 90.00
Positions (direct):
Pm  0.0000  0.0000  0.0000
Pm  0.5000  0.5000  0.5000
In  0.0000  0.0000  0.6790
In  0.5000  0.5000  0.1790
Bi  0.0000  0.0000  0.3208
Bi  0.5000  0.5000  0.8208

***

The following is a GGA-PBE calculation of a relaxed KAlVIr2 crystal, from the Alexandria database.

Output
calculated volume	111.9	Å³/f.u.
formation enthalpy at 0 K	1.198	eV per atom
total magnetic moment	1.064	μB/f.u.
symmetry	No. 123
VASP energy	-5.138	eV/atom
crystal system	tetragonal
D(E_F)	0.87	states/eV per atom

abc: 4.5991 4.5991 5.2882
angles: 90.00 90.00 90.00
Positions (direct):
K  0.0000  0.0000  0.0000
Al  0.5000  0.5000  0.0000
V  0.0000  0.0000  0.5000
Ir  0.0000  0.5000  0.5000
Ir  0.5000  0.0000  0.5000

***

The following is a GGA-PBE calculation of a relaxed LiFeCu2 crystal, from the Alexandria database.

Output
calculated volume	49.8	Å³/f.u.
formation enthalpy at 0 K	0.126	eV per atom
total magnetic moment	2.653	μB/f.u.
symmetry	No. 99
VASP energy	-4.516	eV/atom
crystal system	tetragonal
D(E_F)	0.86	states/eV per atom

abc: 2.5210 2.5210 7.8355
angles: 90.00 90.00 90.00
Positions (direct):
Li  0.0000  0.0000  0.0000
Fe  0.5000  0.5000  0.7297
Cu  0.0000  0.0000  0.4912
Cu  0.5000  0.5000  0.2543

***

The following is a GGA-PBE calculation of a relaxed KW crystal, from the Alexandria database.

Output
calculated volume	52.2	Å³/f.u.
formation enthalpy at 0 K	1.100	eV per atom
total magnetic moment	0.004	μB/f.u.
symmetry	No. 67
VASP energy	-5.925	eV/atom
crystal system	orthorhombic
D(E_F)	0.76	states/eV per atom

abc: 3.3128 5.1884 12.1426
angles: 90.00 90.00 90.00
Positions (direct):
K  0.0000  0.2500  0.1698
K  0.0000  0.7500  0.8302
K  0.5000  0.2500  0.8302
K  0.5000  0.7500  0.1698
W  0.0000  0.2500  0.5768
W  0.0000  0.7500  0.4232
W  0.5000  0.2500  0.4232
W  0.5000  0.7500  0.5768

***

The following is a GGA-PBE calculation of a relaxed TbNd9Ho2 crystal, from the Alexandria database.

Output
calculated volume	410.6	Å³/f.u.
formation enthalpy at 0 K	0.015	eV per atom
total magnetic moment	0.000	μB/f.u.
symmetry	No. 123
VASP energy	-4.709	eV/atom
crystal system	tetragonal
D(E_F)	1.67	states/eV per atom

abc: 5.1528 5.1528 15.4633
angles: 90.00 90.00 90.00
Positions (direct):
Tb  0.0000  0.0000  0.0000
Nd  0.0000  0.5000  0.1672
Nd  0.0000  0.5000  0.5000
Nd  0.0000  0.5000  0.8328
Nd  0.5000  0.0000  0.1672
Nd  0.5000  0.0000  0.5000
Nd  0.5000  0.0000  0.8328
Nd  0.5000  0.5000  0.0000
Nd  0.5000  0.5000  0.3337
Nd  0.5000  0.5000  0.6663
Ho  0.0000  0.0000  0.3336
Ho  0.0000  0.0000  0.6664

***

The following is a GGA-PBE calculation of a relaxed LiSi2Rh crystal, from the Alexandria database.

Output
calculated volume	58.6	Å³/f.u.
formation energy from raw total energies	-491	meV/atom
total magnetic moment	0.000	μB/f.u.
symmetry	No. 62
VASP energy	-5.519	eV/atom
crystal system	orthorhombic
D(E_F)	0.32	states/eV per atom

abc: 14.8262 6.3882 4.9481
angles: 90.00 90.00 90.00
Positions (direct):
Li  0.1040  0.2500  0.2174
Li  0.1492  0.7500  0.4694
Li  0.3508  0.2500  0.9694
Li  0.3960  0.7500  0.7174
Li  0.6040  0.2500  0.2826
Li  0.6492  0.7500  0.0306
Li  0.8508  0.2500  0.5306
Li  0.8960  0.7500  0.7826
Si  0.0307  0.0511  0.7201
Si  0.0307  0.4489  0.7201
Si  0.2123  0.5538  0.9603
Si  0.2123  0.9462  0.9603
Si  0.2877  0.0538  0.4603
Si  0.2877  0.4462  0.4603
Si  0.4693  0.5511  0.2201
Si  0.4693  0.9489  0.2201
Si  0.5307  0.0511  0.7799
Si  0.5307  0.4489  0.7799
Si  0.7123  0.5538  0.5397
Si  0.7123  0.9462  0.5397
Si  0.7877  0.0538  0.0397
Si  0.7877  0.4462  0.0397
Si  0.9693  0.5511  0.2799
Si  0.9693  0.9489  0.2799
Rh  0.0726  0.7500  0.9884
Rh  0.1738  0.2500  0.7060
Rh  0.3262  0.7500  0.2060
Rh  0.4274  0.2500  0.4884
Rh  0.5726  0.7500  0.5116
Rh  0.6738  0.2500  0.7940
Rh  0.8262  0.7500  0.2940
Rh  0.9274  0.2500  0.0116

***

The following is a GGA-PBE calculation of a relaxed Hf2PC crystal, from the Alexandria database.

Output
calculated volume	60.7	Å³/f.u.
formation enthalpy at 0 K	-1.070	eV per atom
total magnetic moment	0.000	μB/f.u.
symmetry	No. 166
VASP energy	-9.705	eV/atom
crystal system	trigonal
D(E_F)	0.33	states/eV per atom

abc: 3.4376 3.4376 17.7982
angles: 90.00 90.00 120.00
Positions (direct):
Hf  0.0000  0.0000  0.2369
Hf  0.0000  0.0000  0.7631
Hf  0.3333  0.6667  0.4297
Hf  0.3333  0.6667  0.9036
Hf  0.6667  0.3333  0.0964
Hf  0.6667  0.3333  0.5703
P  0.0000  0.0000  0.0000
P  0.3333  0.6667  0.6667
P  0.6667  0.3333  0.3333
C  0.0000  0.0000  0.5000
C  0.3333  0.6667  0.1667
C  0.6667  0.3333  0.8333

***

The following is a GGA-PBE calculation of a relaxed NaNdHg crystal, from the Alexandria database.

Output
calculated volume	84.6	Å³/f.u.
formation enthalpy at 0 K	-0.118	eV per atom
total magnetic moment	0.024	μB/f.u.
symmetry	No. 107
VASP energy	-2.247	eV/atom
crystal system	tetragonal
D(E_F)	0.67	states/eV per atom

abc: 4.0090 4.0090 10.5323
angles: 90.00 90.00 90.00
Positions (direct):
Na  0.0000  0.0000  0.0000
Na  0.5000  0.5000  0.5000
Nd  0.0000  0.0000  0.3070
Nd  0.5000  0.5000  0.8070
Hg  0.0000  0.0000  0.6517
Hg  0.5000  0.5000  0.1517

***

Please write out number 1 again, unchanged.
The following is a GGA-PBE calculation of a relaxed BaCdClF3 crystal, from the Alexandria database.

Output
calculated volume	146.0	Å³/f.u.
formation energy from raw total energies	-2677	meV/atom
total magnetic moment	0.000	μB/f.u.
symmetry	No. 15
VASP energy	-4.393	eV/atom
crystal system	monoclinic
D(E_F)	0.00	states/eV per atom

abc: 7.4990 7.4990 8.0951
angles: 91.55 91.55 139.94
Positions (direct):
Ba  0.0600  0.9400  0.7500
Ba  0.9400  0.0600  0.2500
Cd  0.2141  0.7859  0.2500
Cd  0.7859  0.2141  0.7500
Cl  0.2869  0.7131  0.7500
Cl  0.7131  0.2869  0.2500
F  0.0812  0.8869  0.0667
F  0.1131  0.9188  0.4333
F  0.3710  0.6290  0.2500
F  0.6290  0.3710  0.7500
F  0.8869  0.0812  0.5667
F  0.9188  0.1131  0.9333